Record 1
VASP calculation (PBE-GGA) on an optimized crystal structure of CaMgSi2.

## Properties
As for the formation energy without anion corrections: 0.197 eV per atom. The calculation puts the density of states at the Fermi level at 0.7394 states/eV per atom.

Structure (CIF):
```
data_CaMgSi2
_chemical_formula_sum 'Ca4 Mg4 Si8'
_space_group_name_H-M_alt 'F -4 3 m'
_space_group_IT_number 216
_space_group_name_Hall 'F -4 2 3'
_cell_length_a 6.9209
_cell_length_b 6.9209
_cell_length_c 6.9209
_cell_angle_alpha 90.00
_cell_angle_beta 90.00
_cell_angle_gamma 90.00
loop_
_atom_site_label
_atom_site_type_symbol
_atom_site_fract_x
_atom_site_fract_y
_atom_site_fract_z
Ca1 Ca 0.0000 0.0000 0.0000
Mg1 Mg 0.2500 0.2500 0.2500
Si1 Si 0.0000 0.0000 0.5000
Si2 Si 0.2500 0.2500 0.7500
```

---

Record 2
VASP calculation (PBE-GGA) on an optimized crystal structure of Mg3FeCu.

## Properties
As for the energy of formation from the pure elements: 0.622 eV per atom. The energy above the lowest structure with this stoichiometry is 0.000 eV/atom. The calculation puts the density of states at the Fermi level at 1.1681 states/eV per atom.

Structure (CIF):
```
data_Mg3FeCu
_chemical_formula_sum 'Mg3 Fe1 Cu1'
_space_group_name_H-M_alt 'P m -3 m'
_space_group_IT_number 221
_space_group_name_Hall '-P 4 2 3'
_cell_length_a 4.7656
_cell_length_b 4.7656
_cell_length_c 4.7656
_cell_angle_alpha 90.00
_cell_angle_beta 90.00
_cell_angle_gamma 90.00
loop_
_atom_site_label
_atom_site_type_symbol
_atom_site_fract_x
_atom_site_fract_y
_atom_site_fract_z
Mg1 Mg 0.0000 0.0000 0.5000
Fe1 Fe 0.5000 0.5000 0.5000
Cu1 Cu 0.0000 0.0000 0.0000
```

---

Record 3
VASP calculation (PBE-GGA) on an optimized crystal structure of CdSi2Pb2Au7.

## Properties
As for the formation energy without anion corrections: -0.034 eV per atom. The calculation puts the density of states at the Fermi level at 0.5533 states/eV per atom.

Structure (CIF):
```
data_CdSi2Pb2Au7
_chemical_formula_sum 'Cd2 Si4 Pb4 Au14'
_space_group_name_H-M_alt 'C 1 2/m 1'
_space_group_IT_number 12
_space_group_name_Hall '-C 2y'
_cell_length_a 5.8966
_cell_length_b 5.8914
_cell_length_c 15.8478
_cell_angle_alpha 90.00
_cell_angle_beta 100.65
_cell_angle_gamma 90.00
loop_
_atom_site_label
_atom_site_type_symbol
_atom_site_fract_x
_atom_site_fract_y
_atom_site_fract_z
Cd1 Cd 0.0000 0.0000 0.0000
Si1 Si 0.1170 0.5000 0.2313
Pb1 Pb 0.2115 0.0000 0.4218
Au1 Au 0.0000 0.5000 0.0000
Au2 Au 0.1775 0.2501 0.8575
Au3 Au 0.1934 0.5000 0.3862
```

---

Record 4
VASP calculation (PBE-GGA) on an optimized crystal structure of CaSc2Br.

## Properties
The energy above the lowest structure with this stoichiometry is 0.168 eV/atom. As for the formation energy without anion corrections: -0.289 eV per atom. The calculation puts the density of states at the Fermi level at 1.3920 states/eV per atom.

Structure (CIF):
```
data_CaSc2Br
_chemical_formula_sum 'Ca3 Sc6 Br3'
_space_group_name_H-M_alt 'R -3 m'
_space_group_IT_number 166
_space_group_name_Hall '-R 3 2"'
_cell_length_a 3.5289
_cell_length_b 3.5289
_cell_length_c 29.8375
_cell_angle_alpha 90.00
_cell_angle_beta 90.00
_cell_angle_gamma 120.00
loop_
_atom_site_label
_atom_site_type_symbol
_atom_site_fract_x
_atom_site_fract_y
_atom_site_fract_z
Ca1 Ca 0.0000 0.0000 0.0000
Sc1 Sc 0.0000 0.0000 0.2381
Br1 Br 0.0000 0.0000 0.5000
```

---

Record 5
VASP calculation (PBE-GGA) on an optimized crystal structure of KCrAs.

## Properties
As for the energy of formation from the pure elements: -0.243 eV per atom. The energy above the lowest structure with this stoichiometry is 0.000 eV/atom. The calculation puts the density of states at the Fermi level at 0.5255 states/eV per atom.

Structure (CIF):
```
data_KCrAs
_chemical_formula_sum 'K2 Cr2 As2'
_space_group_name_H-M_alt 'P 4/n m m'
_space_group_IT_number 129
_cell_length_a 4.1514
_cell_length_b 4.1514
_cell_length_c 10.5768
_cell_angle_alpha 90.00
_cell_angle_beta 90.00
_cell_angle_gamma 90.00
loop_
_space_group_symop_operation_xyz
'x,y,z'
'-x,-y,-z'
'-y+1/2,x,z'
'y+1/2,-x,-z'
'-x+1/2,-y+1/2,z'
'x+1/2,y+1/2,-z'
'y,-x+1/2,z'
'-y,x+1/2,-z'
'x+1/2,-y,-z'
'-x+1/2,y,z'
'-y,-x,-z'
'y,x,z'
'-x,y+1/2,-z'
'x,-y+1/2,z'
'y+1/2,x+1/2,-z'
'-y+1/2,-x+1/2,z'
loop_
_atom_site_label
_atom_site_type_symbol
_atom_site_fract_x
_atom_site_fract_y
_atom_site_fract_z
K1 K 0.2500 0.2500 0.2059
Cr1 Cr 0.2500 0.7500 0.5000
As1 As 0.2500 0.2500 0.6250
```

---

Record 6
VASP calculation (PBE-GGA) on an optimized crystal structure of CaGa2Ag2.

## Properties
As for the energy of formation from the pure elements: -0.292 eV per atom. The calculation puts the density of states at the Fermi level at 0.5370 states/eV per atom.

Structure (CIF):
```
data_CaGa2Ag2
_chemical_formula_sum 'Ca2 Ga4 Ag4'
_space_group_name_H-M_alt 'I 4/m m m'
_space_group_IT_number 139
_space_group_name_Hall '-I 4 2'
_cell_length_a 4.4293
_cell_length_b 4.4293
_cell_length_c 10.7640
_cell_angle_alpha 90.00
_cell_angle_beta 90.00
_cell_angle_gamma 90.00
loop_
_atom_site_label
_atom_site_type_symbol
_atom_site_fract_x
_atom_site_fract_y
_atom_site_fract_z
Ca1 Ca 0.0000 0.0000 0.0000
Ga1 Ga 0.0000 0.0000 0.3845
Ag1 Ag 0.0000 0.5000 0.2500
```

---

Record 7
VASP calculation (PBE-GGA) on an optimized crystal structure of Zn2FeNi.

## Properties
As for the energy of formation from the pure elements: -0.020 eV per atom. The calculation puts the density of states at the Fermi level at 0.9911 states/eV per atom.

Structure (CIF):
```
data_Zn2FeNi
_chemical_formula_sum 'Zn6 Fe3 Ni3'
_space_group_name_H-M_alt 'R 3 m'
_space_group_IT_number 160
_space_group_name_Hall 'R 3 -2"'
_cell_length_a 2.6384
_cell_length_b 2.6384
_cell_length_c 25.0007
_cell_angle_alpha 90.00
_cell_angle_beta 90.00
_cell_angle_gamma 120.00
loop_
_atom_site_label
_atom_site_type_symbol
_atom_site_fract_x
_atom_site_fract_y
_atom_site_fract_z
Zn1 Zn 0.0000 0.0000 0.0000
Zn2 Zn 0.0000 0.0000 0.1707
Fe1 Fe 0.0000 0.0000 0.7520
Ni1 Ni 0.0000 0.0000 0.5853
```

---

Record 8
VASP calculation (PBE-GGA) on an optimized crystal structure of SiW2.

## Properties
The energy above the lowest structure with this stoichiometry is 0.201 eV/atom. As for the formation energy without anion corrections: 0.050 eV per atom. The calculation puts the density of states at the Fermi level at 0.7212 states/eV per atom.

Structure (CIF):
```
data_SiW2
_chemical_formula_sum 'Si2 W4'
_space_group_name_H-M_alt 'C 1 2/m 1'
_space_group_IT_number 12
_space_group_name_Hall '-C 2y'
_cell_length_a 4.5483
_cell_length_b 4.5434
_cell_length_c 4.8664
_cell_angle_alpha 90.00
_cell_angle_beta 117.18
_cell_angle_gamma 90.00
loop_
_atom_site_label
_atom_site_type_symbol
_atom_site_fract_x
_atom_site_fract_y
_atom_site_fract_z
Si1 Si 0.0000 0.0000 0.0000
W1 W 0.1685 0.5000 0.3281
```

---

Record 9
VASP calculation (PBE-GGA) on an optimized crystal structure of CoSi2Pb.

## Properties
As for the formation energy without anion corrections: 0.600 eV per atom. The calculation puts the density of states at the Fermi level at 0.3830 states/eV per atom.

Structure (CIF):
```
data_CoSi2Pb
_chemical_formula_sum 'Co1 Si2 Pb1'
_space_group_name_H-M_alt 'P 1 2/m 1'
_space_group_IT_number 10
_space_group_name_Hall '-P 2y'
_cell_length_a 3.9531
_cell_length_b 3.4312
_cell_length_c 5.4151
_cell_angle_alpha 90.00
_cell_angle_beta 110.09
_cell_angle_gamma 90.00
loop_
_atom_site_label
_atom_site_type_symbol
_atom_site_fract_x
_atom_site_fract_y
_atom_site_fract_z
Co1 Co 0.0000 0.0000 0.0000
Si1 Si 0.0000 0.5000 0.5000
Si2 Si 0.5000 0.0000 0.5000
Pb1 Pb 0.5000 0.5000 0.0000
```

---

Record 10
VASP calculation (PBE-GGA) on an optimized crystal structure of Cu4PtPb.

## Properties
As for the energy of formation from the pure elements: 0.074 eV per atom. The calculation puts the density of states at the Fermi level at 0.9604 states/eV per atom.

Structure (CIF):
```
data_Cu4PtPb
_chemical_formula_sum 'Cu16 Pt4 Pb4'
_space_group_name_H-M_alt 'F -4 3 m'
_space_group_IT_number 216
_space_group_name_Hall 'F -4 2 3'
_cell_length_a 7.0939
_cell_length_b 7.0939
_cell_length_c 7.0939
_cell_angle_alpha 90.00
_cell_angle_beta 90.00
_cell_angle_gamma 90.00
loop_
_atom_site_label
_atom_site_type_symbol
_atom_site_fract_x
_atom_site_fract_y
_atom_site_fract_z
Cu1 Cu 0.1243 0.1243 0.3757
Pt1 Pt 0.2500 0.2500 0.7500
Pb1 Pb 0.0000 0.0000 0.0000
```

---

| no. | calculated volume (Å³/cell) |
| --- | --- |
| 1 | 331.50 |
| 2 | 108.23 |
| 3 | 541.06 |
| 4 | 321.78 |
| 5 | 182.28 |
| 6 | 211.18 |
| 7 | 150.72 |
| 8 | 89.46 |
| 9 | 68.98 |
| 10 | 356.99 |